(1)
KSc2Se | GGA-PBE | relaxed

The calculation puts the magnetization at 0.33 μB/atom. As for the space-group type: P4/mmm, No. 123. For the formation energy without anion corrections, the calculation gives 0.04 eV per formula unit.

Lattice parameters (Å, degrees): 5.352 4.450 4.450 90.00 90.00 90.00
Each line ends with the local moment (μB).
Positions (direct):
K: 0.500 0.000 0.500  0.02
Se: 0.500 0.500 0.000  -0.01
Sc: 0.000 0.500 0.500  0.45
Sc: 0.000 0.000 0.000  0.45

(2)
SiPAu2 | GGA-PBE | relaxed

The energy above the lowest structure with this stoichiometry is 1.34 eV/f.u. The calculation puts the magnetization at 0.00 μB/atom. As for the space-group type: I4/mmm, No. 139. For the formation energy without anion corrections, the calculation gives 1.58 eV per formula unit.

Lattice parameters (Å, degrees): 4.830 4.830 4.830 127.65 127.65 77.20
Positions (direct):
P: 0.250 0.750 0.500
Au: 0.500 0.500 0.000
Au: 0.000 0.000 0.000
Si: 0.750 0.250 0.500

(3)
KVAs2 | GGA-PBE | relaxed

The energy of formation is -24 kJ/mol of atoms. The energy above the lowest structure with this stoichiometry is 0.12 eV/f.u. The calculation puts the magnetization at 0.30 μB/atom. As for the space-group type: P4/mmm, No. 123.

Lattice parameters (Å, degrees): 3.198 3.198 8.024 90.00 90.00 90.00
Each line ends with the local moment (μB).
Positions (direct):
As: 0.000 0.000 0.820  -0.02
V: 0.500 0.500 0.000  1.08
As: 0.000 0.000 0.180  -0.02
K: 0.500 0.500 0.500  0.00

(4)
KTe2RhPb | GGA-PBE | relaxed

The calculation puts the magnetization at 0.00 μB/atom. As for the space-group type: P4/mmm, No. 123. For the formation energy without anion corrections, the calculation gives 0.05 eV per formula unit.

Lattice parameters (Å, degrees): 5.300 5.425 5.300 90.00 90.00 90.00
Positions (direct):
Pb: 0.500 0.500 0.500
Te: 0.000 0.000 0.500
K: 0.000 0.500 0.000
Rh: 0.000 0.000 0.000
Te: 0.500 0.000 0.000

(5)
AlSb2TeMo | GGA-PBE | relaxed

The energy above the lowest structure with this stoichiometry is 0.00 eV/f.u. The calculation puts the magnetization at 0.00 μB/atom. As for the space-group type: P4/mmm, No. 123. For the formation energy without anion corrections, the calculation gives 3.06 eV per formula unit.

Lattice parameters (Å, degrees): 5.233 5.233 5.425 90.00 90.00 90.00
Positions (direct):
Sb: 0.500 0.000 0.000
Te: 0.000 0.000 0.500
Sb: 0.000 0.500 0.000
Mo: 0.000 0.000 0.000
Al: 0.500 0.500 0.500

(6)
KZr2Sc | GGA-PBE | relaxed

The energy of formation is 90 kJ/mol of atoms. The energy above the lowest structure with this stoichiometry is 2.40 eV/f.u. The calculation puts the magnetization at 0.16 μB/atom. As for the space-group type: P4/mmm, No. 123.

Lattice parameters (Å, degrees): 5.756 5.756 3.230 90.00 90.00 90.00
Each line ends with the local moment (μB).
Positions (direct):
K: 0.500 0.000 0.500  0.03
Zr: 0.000 0.000 0.000  0.17
Sc: 0.000 0.500 0.500  0.02
Zr: 0.500 0.500 0.000  0.17

(7)
NaHf2MgO | GGA-PBE | relaxed

The energy above the lowest structure with this stoichiometry is 0.00 eV/f.u. The calculation puts the magnetization at 0.00 μB/atom. As for the space-group type: P4/mmm, No. 123. For the formation energy without anion corrections, the calculation gives -3.43 eV per formula unit.

Lattice parameters (Å, degrees): 4.387 4.850 4.387 90.00 90.00 90.00
Positions (direct):
Hf: 0.500 0.000 0.000
O: 0.000 0.000 0.000
Mg: 0.500 0.500 0.500
Hf: 0.000 0.000 0.500
Na: 0.000 0.500 0.000

(8)
Rb3Zr3TiSe8 | GGA-PBE | relaxed

The calculation puts the magnetization at 0.08 μB/atom. As for the space-group type: R-3m, No. 166. For the formation energy without anion corrections, the calculation gives -19.73 eV per formula unit.

Lattice parameters (Å, degrees): 7.704 7.709 9.397 114.23 90.00 120.01
Each line ends with the local moment (μB).
Positions (direct):
Rb: 0.000 0.500 0.000  0.00
Rb: 0.000 0.000 0.000  0.00
Se: 0.774 0.547 0.312  -0.01
Se: 0.264 0.038 0.312  -0.01
Se: 0.736 0.962 0.688  -0.01
Zr: 0.500 0.000 0.500  0.03
Ti: 0.000 0.000 0.500  0.79
Rb: 0.500 0.500 0.000  0.00
Se: 0.268 0.536 0.305  0.00
Zr: 0.000 0.500 0.500  0.05
Se: 0.774 0.038 0.312  -0.01
Se: 0.226 0.962 0.688  -0.01
Se: 0.732 0.464 0.695  0.00
Se: 0.226 0.453 0.688  -0.01
Zr: 0.500 0.500 0.500  0.06

(9)
AlBi2O4 | GGA-PBE | relaxed

The calculation puts the magnetization at 0.00 μB/atom. As for the space-group type: P4/ncc, No. 130. For the formation energy without anion corrections, the calculation gives -10.20 eV per formula unit.

Lattice parameters (Å, degrees): 8.362 8.362 6.324 90.00 90.00 90.00
Positions (direct):
O: 0.598 0.800 0.584
O: 0.700 0.098 0.584
O: 0.402 0.800 0.084
Bi: 0.668 0.332 0.750
O: 0.598 0.200 0.084
O: 0.300 0.098 0.084
O: 0.200 0.598 0.416
O: 0.700 0.902 0.084
O: 0.200 0.402 0.916
O: 0.300 0.902 0.584
O: 0.800 0.598 0.916
Al: 0.500 0.000 0.067
O: 0.402 0.200 0.584
Bi: 0.168 0.832 0.250
O: 0.902 0.700 0.416
Bi: 0.832 0.168 0.250
Bi: 0.332 0.668 0.750
O: 0.098 0.300 0.416
O: 0.800 0.402 0.416
Bi: 0.668 0.668 0.250
Bi: 0.832 0.832 0.750
O: 0.902 0.300 0.916
Bi: 0.332 0.332 0.250
Bi: 0.168 0.168 0.750
Al: 0.500 0.000 0.567
O: 0.098 0.700 0.916
Al: 0.000 0.500 0.433
Al: 0.000 0.500 0.933

(10)
NbSbP2S | GGA-PBE | relaxed

The energy above the lowest structure with this stoichiometry is 4.58 eV/f.u. The calculation puts the magnetization at 0.31 μB/atom. As for the space-group type: P4/mmm, No. 123. For the formation energy without anion corrections, the calculation gives 6.00 eV per formula unit.

Lattice parameters (Å, degrees): 4.927 4.927 4.874 90.00 90.00 90.00
Each line ends with the local moment (μB).
Positions (direct):
Sb: 0.000 0.000 0.000  -0.02
Nb: 0.500 0.500 0.500  2.10
P: 0.000 0.500 0.000  -0.19
S: 0.000 0.000 0.500  -0.15
P: 0.500 0.000 0.000  -0.19

(11)
Li6InPt2 | GGA-PBE | relaxed

The energy of formation is -38 kJ/mol of atoms. The energy above the lowest structure with this stoichiometry is 0.00 eV/f.u. The calculation puts the magnetization at 0.00 μB/atom. As for the space-group type: C2/m, No. 12.

Lattice parameters (Å, degrees): 2.748 7.556 7.556 59.85 87.53 87.53
Positions (direct):
Li: 0.548 0.654 0.000
Li: 0.451 0.346 0.000
Li: 0.500 0.655 0.345
Li: 0.500 0.345 0.655
In: 0.000 0.000 0.000
Li: 0.548 0.000 0.654
Pt: 0.005 0.335 0.335
Li: 0.451 0.000 0.346
Pt: 0.995 0.665 0.665

(12)
SrYTl2 | GGA-PBE | relaxed

The energy of formation is -26 kJ/mol of atoms. The calculation puts the magnetization at 0.00 μB/atom. As for the space-group type: C2/m, No. 12.

Lattice parameters (Å, degrees): 5.330 5.330 7.170 79.05 79.05 42.59
Positions (direct):
Sr: 0.750 0.750 0.750
Y: 0.250 0.250 0.250
Tl: 0.998 0.998 0.043
Tl: 0.502 0.502 0.457

(13)
La4TcAs | GGA-PBE | relaxed

The energy of formation is 60 kJ/mol of atoms. The calculation puts the magnetization at 0.20 μB/atom. As for the space-group type: F-43m, No. 216.

Lattice parameters (Å, degrees): 6.219 6.219 6.219 60.00 60.00 60.00
Each line ends with the local moment (μB).
Positions (direct):
La: 0.375 0.375 0.874  -0.09
As: 0.000 0.000 0.000  0.01
La: 0.874 0.375 0.375  -0.09
La: 0.375 0.874 0.375  -0.09
La: 0.375 0.375 0.375  -0.09
Tc: 0.750 0.750 0.750  1.64

Values of DOS(E_F), in order: 1.24 0.34 0.59 0.76 1.07 1.63 0.62 0.57 0.34 1.04 0.42 0.79 1.53, all in states/eV per atom.